Computed, not measured: Sm2BeZnRh2 after structural relaxation at the PBE level of DFT.

The structure in CIF format:
```
data_Sm2BeZnRh2
_space_group_name_H-M_alt 'P 1'
_space_group_IT_number 1
_cell_length_a 7.982
_cell_length_b 7.982
_cell_length_c 7.982
_cell_angle_alpha 136.94
_cell_angle_beta 61.53
_cell_angle_gamma 138.25
loop_
_space_group_symop_operation_xyz
'x,y,z'
loop_
_atom_site_label
_atom_site_fract_x
_atom_site_fract_y
_atom_site_fract_z
_atom_site_occupancy
Sm1 0.167 0.233 0.400 1
Sm2 0.333 0.733 0.066 1
Sm3 0.667 0.267 0.934 1
Sm4 0.833 0.767 0.600 1
Be1 0.250 0.750 0.500 1
Be2 0.750 0.250 0.500 1
Zn1 0.250 0.250 0.000 1
Zn2 0.750 0.750 0.000 1
Rh1 0.107 0.707 0.813 1
Rh2 0.393 0.207 0.600 1
Rh3 0.607 0.793 0.400 1
Rh4 0.893 0.293 0.187 1
```


Computed, not measured: EuAl2Cd after structural relaxation at the PBE level of DFT.

The structure in CIF format:
```
data_EuAl2Cd
_space_group_name_H-M_alt 'P 1'
_space_group_IT_number 1
_cell_length_a 5.021
_cell_length_b 5.021
_cell_length_c 5.021
_cell_angle_alpha 60.00
_cell_angle_beta 60.00
_cell_angle_gamma 60.00
loop_
_space_group_symop_operation_xyz
'x,y,z'
loop_
_atom_site_label
_atom_site_fract_x
_atom_site_fract_y
_atom_site_fract_z
_atom_site_occupancy
Eu1 0.000 0.000 0.000 1
Al1 0.250 0.250 0.250 1
Al2 0.750 0.750 0.750 1
Cd1 0.500 0.500 0.500 1
```


Computed, not measured: Ca4TmU3N8 after structural relaxation at the PBE level of DFT.

The structure in CIF format:
```
data_Ca4TmU3N8
_space_group_name_H-M_alt 'P 1'
_space_group_IT_number 1
_cell_length_a 6.978
_cell_length_b 6.978
_cell_length_c 6.978
_cell_angle_alpha 59.82
_cell_angle_beta 59.82
_cell_angle_gamma 59.82
loop_
_space_group_symop_operation_xyz
'x,y,z'
loop_
_atom_site_label
_atom_site_fract_x
_atom_site_fract_y
_atom_site_fract_z
_atom_site_occupancy
Ca1 0.000 0.000 0.000 1
Ca2 0.000 0.500 0.500 1
Ca3 0.500 0.000 0.500 1
Ca4 0.500 0.500 0.000 1
Tm1 0.500 0.500 0.500 1
U1 0.000 0.000 0.500 1
U2 0.000 0.500 0.000 1
U3 0.500 0.000 0.000 1
N1 0.227 0.743 0.743 1
N2 0.239 0.239 0.239 1
N3 0.257 0.257 0.773 1
N4 0.257 0.773 0.257 1
N5 0.743 0.227 0.743 1
N6 0.743 0.743 0.227 1
N7 0.761 0.761 0.761 1
N8 0.773 0.257 0.257 1
```


Computed, not measured: YCdHg6 after structural relaxation at the PBE level of DFT.

The structure in CIF format:
```
data_YCdHg6
_space_group_name_H-M_alt 'P 1'
_space_group_IT_number 1
_cell_length_a 8.424
_cell_length_b 8.424
_cell_length_c 8.424
_cell_angle_alpha 45.18
_cell_angle_beta 45.18
_cell_angle_gamma 45.18
loop_
_space_group_symop_operation_xyz
'x,y,z'
loop_
_atom_site_label
_atom_site_fract_x
_atom_site_fract_y
_atom_site_fract_z
_atom_site_occupancy
Y1 0.000 0.000 0.000 1
Cd1 0.500 0.500 0.500 1
Hg1 0.074 0.074 0.549 1
Hg2 0.074 0.549 0.074 1
Hg3 0.451 0.926 0.926 1
Hg4 0.549 0.074 0.074 1
Hg5 0.926 0.451 0.926 1
Hg6 0.926 0.926 0.451 1
```


Computed, not measured: Zr2SiO2 after structural relaxation at the PBE level of DFT.

The structure in CIF format:
```
data_Zr2SiO2
_space_group_name_H-M_alt 'P 1'
_space_group_IT_number 1
_cell_length_a 3.145
_cell_length_b 3.145
_cell_length_c 12.312
_cell_angle_alpha 90.00
_cell_angle_beta 90.00
_cell_angle_gamma 90.00
loop_
_space_group_symop_operation_xyz
'x,y,z'
loop_
_atom_site_label
_atom_site_fract_x
_atom_site_fract_y
_atom_site_fract_z
_atom_site_occupancy
Zr1 0.000 0.000 0.234 1
Zr2 0.000 0.000 0.766 1
Si1 0.000 0.000 0.000 1
O1 0.000 0.000 0.377 1
O2 0.000 0.000 0.623 1
```


Computed, not measured: Sr2BiCl after structural relaxation at the PBE level of DFT.

The structure in CIF format:
```
data_Sr2BiCl
_space_group_name_H-M_alt 'P 1'
_space_group_IT_number 1
_cell_length_a 9.236
_cell_length_b 9.236
_cell_length_c 9.236
_cell_angle_alpha 136.49
_cell_angle_beta 136.49
_cell_angle_gamma 63.22
loop_
_space_group_symop_operation_xyz
'x,y,z'
loop_
_atom_site_label
_atom_site_fract_x
_atom_site_fract_y
_atom_site_fract_z
_atom_site_occupancy
Sr1 0.102 0.625 0.977 1
Sr2 0.375 0.352 0.477 1
Sr3 0.648 0.125 0.023 1
Sr4 0.875 0.898 0.523 1
Bi1 0.250 0.750 0.500 1
Bi2 0.500 0.500 0.000 1
Cl1 0.000 0.000 0.000 1
Cl2 0.750 0.250 0.500 1
```


Computed, not measured: Nd6Ho3Sc after structural relaxation at the PBE level of DFT.

The structure in CIF format:
```
data_Nd6Ho3Sc
_space_group_name_H-M_alt 'P 1'
_space_group_IT_number 1
_cell_length_a 6.959
_cell_length_b 6.959
_cell_length_c 6.959
_cell_angle_alpha 90.54
_cell_angle_beta 90.54
_cell_angle_gamma 90.54
loop_
_space_group_symop_operation_xyz
'x,y,z'
loop_
_atom_site_label
_atom_site_fract_x
_atom_site_fract_y
_atom_site_fract_z
_atom_site_occupancy
Nd1 0.087 0.746 0.418 1
Nd2 0.254 0.582 0.913 1
Nd3 0.418 0.087 0.746 1
Nd4 0.582 0.913 0.254 1
Nd5 0.746 0.418 0.087 1
Nd6 0.913 0.254 0.582 1
Ho1 0.000 0.000 0.000 1
Ho2 0.254 0.254 0.254 1
Ho3 0.746 0.746 0.746 1
Sc1 0.500 0.500 0.500 1
```


Computed, not measured: Sb2AsN after structural relaxation at the PBE level of DFT.

The structure in CIF format:
```
data_Sb2AsN
_space_group_name_H-M_alt 'P 1'
_space_group_IT_number 1
_cell_length_a 4.760
_cell_length_b 4.760
_cell_length_c 4.760
_cell_angle_alpha 60.00
_cell_angle_beta 60.00
_cell_angle_gamma 60.00
loop_
_space_group_symop_operation_xyz
'x,y,z'
loop_
_atom_site_label
_atom_site_fract_x
_atom_site_fract_y
_atom_site_fract_z
_atom_site_occupancy
Sb1 0.250 0.250 0.250 1
Sb2 0.750 0.750 0.750 1
As1 0.000 0.000 0.000 1
N1 0.500 0.500 0.500 1
```


no.,calculated total energy (eV/cell),N(E_F) (states/eV/atom)
1,-65.053,0.54
2,-19.132,0.36
3,-134.719,0.61
4,-8.592,0.41
5,-33.180,0.74
6,-27.986,0.00
7,-46.553,1.99
8,-16.967,0.63